*w*
An optimized crystal structure of CaHf3Cd, computed with PBE-GGA.

Lattice parameters (Å, degrees): 5.303 5.303 5.303 90.00 90.00 90.00
Space group Pm-3m (No. 221)
Unique sites:
Ca  0.000  0.000  0.000
Hf  0.000  0.500  0.500
Cd  0.500  0.500  0.500

## Properties
M_tot: 1.53 μB per formula unit

*x*
An optimized crystal structure of CaHf3Cd, computed with PBE-GGA.

Lattice parameters (Å, degrees): 5.074 5.074 5.074 90.00 90.00 90.00
Space group Pm-3m (No. 221)
Unique sites:
Ca  0.000  0.000  0.000
Hf  0.000  0.000  0.500
Cd  0.500  0.500  0.500

## Properties
M_tot: 0.00 μB per formula unit

Least stable structure: *x*

*w*
An optimized crystal structure of Ca3HfCd, computed with PBE-GGA.

Lattice parameters (Å, degrees): 5.757 5.757 5.757 90.00 90.00 90.00
Space group Pm-3m (No. 221)
Unique sites:
Ca  0.000  0.000  0.500
Hf  0.500  0.500  0.500
Cd  0.000  0.000  0.000

## Properties
M_tot: 2.44 μB per formula unit

*x*
An optimized crystal structure of Ca3HfCd, computed with PBE-GGA.

Lattice parameters (Å, degrees): 5.832 5.832 5.832 90.00 90.00 90.00
Space group Pm-3m (No. 221)
Unique sites:
Ca  0.000  0.000  0.500
Hf  0.000  0.000  0.000
Cd  0.500  0.500  0.500

## Properties
M_tot: 1.54 μB per formula unit

Least stable structure: *x*

*w*
An optimized crystal structure of Ca2Cd5Hg4, computed with PBE-GGA.

Lattice parameters (Å, degrees): 5.922 9.741 20.339 90.00 90.00 90.00
Space group Fmmm (No. 69)
Unique sites:
Ca  0.000  0.000  0.105
Cd  0.000  0.000  0.500
Cd  0.250  0.250  0.000
Cd  0.250  0.250  0.250
Hg  0.000  0.157  0.368

## Properties
M_tot: 0.00 μB per formula unit

*x*
An optimized crystal structure of Ca2Cd5Hg4, computed with PBE-GGA.

Lattice parameters (Å, degrees): 5.926 9.273 10.113 90.00 90.00 90.00
Space group Immm (No. 71)
Unique sites:
Ca  0.000  0.000  0.210
Cd  0.000  0.500  0.500
Cd  0.246  0.174  0.500
Hg  0.000  0.334  0.255

## Properties
M_tot: 0.00 μB per formula unit

Least stable structure: *w*